VASP calculation (PBE-GGA) on a geometry-optimized TlCdCl6 structure.

## Properties
Magnetic moment   0.12 μB per atom
Polymorph energy (0 for the lowest one)   0.0 meV/atom
Uncorrected formation energy   -0.623 eV per atom

Cell and atoms, written as CIF:
```
data_TlCdCl6
_symmetry_space_group_name_H-M 'C 1 2/m 1'
_symmetry_Int_Tables_number 12
_symmetry_space_group_name_Hall '-C 2y'
_cell_length_a 6.7052
_cell_length_b 12.1932
_cell_length_c 6.7061
_cell_angle_alpha 90.00
_cell_angle_beta 112.31
_cell_angle_gamma 90.00
loop_
_atom_site_label
_atom_site_type_symbol
_atom_site_fract_x
_atom_site_fract_y
_atom_site_fract_z
Tl1 Tl 0.0000 0.0000 0.0000
Cd1 Cd 0.0000 0.5000 0.5000
Cl1 Cl 0.1726 0.5000 0.1756
Cl2 Cl 0.2155 0.1447 0.2764
```